Entry from the Alexandria database: a relaxed structure of La7Co2Hg2Au (GGA-PBE).

V (Å³ per cell): 366
Electronic total energy (eV/atom): -4.645
Crystal system: monoclinic
DOS at the Fermi energy (states/eV/cell): 15.309
Formation energy from the elements (eV per atom): -0.26
Calculated density (Mg/m³): 7.7

Cell and atoms, written as CIF:
```
data_La7Co2Hg2Au
_chemical_formula_sum 'La7 Co2 Hg2 Au1'
_cell_length_a 5.266
_cell_length_b 5.266
_cell_length_c 13.718
_cell_angle_alpha 78.90
_cell_angle_beta 78.90
_cell_angle_gamma 90.23
_space_group_name_H-M_alt 'P 1'
_space_group_IT_number 1
loop_
_space_group_symop_operation_xyz
'x,y,z'
loop_
_atom_site_label
_atom_site_type_symbol
_atom_site_fract_x
_atom_site_fract_y
_atom_site_fract_z
_atom_site_occupancy
La1 La 0.500 0.500 0.000 1
La2 La 0.596 0.096 0.808 1
La3 La 0.292 0.292 0.414 1
Au1 Au 0.000 0.000 0.000 1
La4 La 0.404 0.904 0.192 1
Co1 Co 0.599 0.599 0.800 1
La5 La 0.096 0.596 0.808 1
Co2 Co 0.401 0.401 0.200 1
La6 La 0.708 0.708 0.586 1
Hg1 Hg 0.177 0.177 0.650 1
Hg2 Hg 0.823 0.823 0.350 1
La7 La 0.904 0.404 0.192 1
```

---

Entry from the Alexandria database: a relaxed structure of LiThIn2 (GGA-PBE).

V (Å³ per cell): 96
Electronic total energy (eV/atom): -4.011
Crystal system: tetragonal
DOS at the Fermi energy (states/eV/cell): 2.624
Formation energy from the elements (eV per atom): -0.31
Calculated density (Mg/m³): 8.1

Cell and atoms, written as CIF:
```
data_LiThIn2
_chemical_formula_sum 'Li1 Th1 In2'
_cell_length_a 3.524
_cell_length_b 3.524
_cell_length_c 7.750
_cell_angle_alpha 90.00
_cell_angle_beta 90.00
_cell_angle_gamma 90.00
_space_group_name_H-M_alt 'P 1'
_space_group_IT_number 1
loop_
_space_group_symop_operation_xyz
'x,y,z'
loop_
_atom_site_label
_atom_site_type_symbol
_atom_site_fract_x
_atom_site_fract_y
_atom_site_fract_z
_atom_site_occupancy
Li1 Li 0.500 0.500 0.000 1
In1 In 0.000 0.000 0.202 1
Th1 Th 0.500 0.500 0.500 1
In2 In 0.000 0.000 0.798 1
```

---

Entry from the Alexandria database: a relaxed structure of Mg3Cr4 (GGA-PBE).

V (Å³ per cell): 118
Electronic total energy (eV/atom): -5.471
Crystal system: hexagonal
DOS at the Fermi energy (states/eV/cell): 5.497
E above lowest polymorph (meV/atom): 484.1
Formation energy from the elements (eV per atom): 0.71
Calculated density (Mg/m³): 4.0

Cell and atoms, written as CIF:
```
data_Mg3Cr4
_chemical_formula_sum 'Mg3 Cr4'
_cell_length_a 5.262
_cell_length_b 5.262
_cell_length_c 4.912
_cell_angle_alpha 90.00
_cell_angle_beta 90.00
_cell_angle_gamma 120.00
_space_group_name_H-M_alt 'P 1'
_space_group_IT_number 1
loop_
_space_group_symop_operation_xyz
'x,y,z'
loop_
_atom_site_label
_atom_site_type_symbol
_atom_site_fract_x
_atom_site_fract_y
_atom_site_fract_z
_atom_site_occupancy
Mg1 Mg 0.500 0.500 0.000 1
Cr1 Cr 0.000 0.000 0.692 1
Mg2 Mg 0.000 0.500 0.000 1
Cr2 Cr 0.000 0.000 0.308 1
Cr3 Cr 0.333 0.667 0.500 1
Mg3 Mg 0.500 0.000 0.000 1
Cr4 Cr 0.667 0.333 0.500 1
```

---

Entry from the Alexandria database: a relaxed structure of NaLiSi2 (GGA-PBE).

V (Å³ per cell): 195
Electronic total energy (eV/atom): -3.249
Crystal system: tetragonal
DOS at the Fermi energy (states/eV/cell): 2.953
E above lowest polymorph (meV/atom): 266.6
Calculated density (Mg/m³): 1.5
E_form (uncorrected) (eV per formula unit): 1.08

Cell and atoms, written as CIF:
```
data_NaLiSi2
_chemical_formula_sum 'Na2 Li2 Si4'
_cell_length_a 4.650
_cell_length_b 4.650
_cell_length_c 9.591
_cell_angle_alpha 75.97
_cell_angle_beta 75.97
_cell_angle_gamma 90.00
_space_group_name_H-M_alt 'P 1'
_space_group_IT_number 1
loop_
_space_group_symop_operation_xyz
'x,y,z'
loop_
_atom_site_label
_atom_site_type_symbol
_atom_site_fract_x
_atom_site_fract_y
_atom_site_fract_z
_atom_site_occupancy
Li1 Li 0.500 0.500 0.000 1
Na1 Na 0.750 0.250 0.500 1
Si1 Si 0.400 0.625 0.250 1
Si2 Si 0.375 0.650 0.750 1
Li2 Li 0.250 0.750 0.500 1
Na2 Na 0.000 0.000 0.000 1
Si3 Si 0.875 0.600 0.750 1
Si4 Si 0.350 0.125 0.250 1
```

---

Entry from the Alexandria database: a relaxed structure of AcPm6Tl4 (GGA-PBE).

V (Å³ per cell): 388
Electronic total energy (eV/atom): -3.927
Crystal system: tetragonal
DOS at the Fermi energy (states/eV/cell): 13.049
Formation energy from the elements (eV per atom): -0.10
Calculated density (Mg/m³): 8.2

Cell and atoms, written as CIF:
```
data_AcPm6Tl4
_chemical_formula_sum 'Ac1 Pm6 Tl4'
_cell_length_a 8.256
_cell_length_b 8.256
_cell_length_c 8.256
_cell_angle_alpha 87.26
_cell_angle_beta 121.60
_cell_angle_gamma 121.60
_space_group_name_H-M_alt 'P 1'
_space_group_IT_number 1
loop_
_space_group_symop_operation_xyz
'x,y,z'
loop_
_atom_site_label
_atom_site_type_symbol
_atom_site_fract_x
_atom_site_fract_y
_atom_site_fract_z
_atom_site_occupancy
Tl1 Tl 0.332 0.735 0.735 1
Ac1 Ac 0.000 0.000 0.000 1
Pm1 Pm 0.376 0.474 0.474 1
Tl2 Tl 0.668 0.403 0.403 1
Pm2 Pm 0.000 0.526 0.903 1
Pm3 Pm 0.000 0.903 0.526 1
Tl3 Tl 0.000 0.265 0.597 1
Pm4 Pm 0.500 0.500 0.000 1
Pm5 Pm 0.500 0.000 0.500 1
Tl4 Tl 0.000 0.597 0.265 1
Pm6 Pm 0.624 0.097 0.097 1
```

---

Entry from the Alexandria database: a relaxed structure of Ag2TePb (GGA-PBE).

V (Å³ per cell): 102
Electronic total energy (eV/atom): -3.095
Crystal system: monoclinic
DOS at the Fermi energy (states/eV/cell): 1.886
E above lowest polymorph (meV/atom): 0.0
Calculated density (Mg/m³): 8.9
E_form (uncorrected) (eV per formula unit): 0.17

Cell and atoms, written as CIF:
```
data_Ag2TePb
_chemical_formula_sum 'Ag2 Te1 Pb1'
_cell_length_a 4.298
_cell_length_b 3.162
_cell_length_c 8.435
_cell_angle_alpha 63.14
_cell_angle_beta 90.00
_cell_angle_gamma 90.00
_space_group_name_H-M_alt 'P 1'
_space_group_IT_number 1
loop_
_space_group_symop_operation_xyz
'x,y,z'
loop_
_atom_site_label
_atom_site_type_symbol
_atom_site_fract_x
_atom_site_fract_y
_atom_site_fract_z
_atom_site_occupancy
Pb1 Pb 0.000 0.398 0.451 1
Ag1 Ag 0.000 0.863 0.043 1
Ag2 Ag 0.500 0.171 0.208 1
Te1 Te 0.500 0.069 0.798 1
```

---

Entry from the Alexandria database: a relaxed structure of Ge2HF (GGA-PBE).

V (Å³ per cell): 54
Electronic total energy (eV/atom): -3.552
Crystal system: cubic
DOS at the Fermi energy (states/eV/cell): 2.275
E above lowest polymorph (meV/atom): 169.9
Calculated density (Mg/m³): 5.1

Cell and atoms, written as CIF:
```
data_Ge2HF
_chemical_formula_sum 'Ge2 H1 F1'
_cell_length_a 4.245
_cell_length_b 4.245
_cell_length_c 4.245
_cell_angle_alpha 60.00
_cell_angle_beta 60.00
_cell_angle_gamma 60.00
_space_group_name_H-M_alt 'P 1'
_space_group_IT_number 1
loop_
_space_group_symop_operation_xyz
'x,y,z'
loop_
_atom_site_label
_atom_site_type_symbol
_atom_site_fract_x
_atom_site_fract_y
_atom_site_fract_z
_atom_site_occupancy
Ge1 Ge 0.250 0.250 0.250 1
F1 F 0.500 0.500 0.500 1
H1 H 0.000 0.000 0.000 1
Ge2 Ge 0.750 0.750 0.750 1
```

---

Entry from the Alexandria database: a relaxed structure of LiRhW2 (GGA-PBE).

V (Å³ per cell): 61
Electronic total energy (eV/atom): -8.647
Crystal system: orthorhombic
DOS at the Fermi energy (states/eV/cell): 4.520
E above lowest polymorph (meV/atom): 21.3
Formation energy from the elements (eV per atom): 0.15
Calculated density (Mg/m³): 12.9

Cell and atoms, written as CIF:
```
data_LiRhW2
_chemical_formula_sum 'Li1 Rh1 W2'
_cell_length_a 2.728
_cell_length_b 2.728
_cell_length_c 8.676
_cell_angle_alpha 90.00
_cell_angle_beta 90.00
_cell_angle_gamma 108.03
_space_group_name_H-M_alt 'P 1'
_space_group_IT_number 1
loop_
_space_group_symop_operation_xyz
'x,y,z'
loop_
_atom_site_label
_atom_site_type_symbol
_atom_site_fract_x
_atom_site_fract_y
_atom_site_fract_z
_atom_site_occupancy
Li1 Li 0.000 0.000 0.515 1
W1 W 0.000 0.000 0.989 1
W2 W 0.500 0.500 0.245 1
Rh1 Rh 0.500 0.500 0.751 1
```

---

Which value of V does entry 5 give? 388 Å³ per cell

---

Repeat the first record exactly.
Entry from the Alexandria database: a relaxed structure of La7Co2Hg2Au (GGA-PBE).

V (Å³ per cell): 366
Electronic total energy (eV/atom): -4.645
Crystal system: monoclinic
DOS at the Fermi energy (states/eV/cell): 15.309
Formation energy from the elements (eV per atom): -0.26
Calculated density (Mg/m³): 7.7

Cell and atoms, written as CIF:
```
data_La7Co2Hg2Au
_chemical_formula_sum 'La7 Co2 Hg2 Au1'
_cell_length_a 5.266
_cell_length_b 5.266
_cell_length_c 13.718
_cell_angle_alpha 78.90
_cell_angle_beta 78.90
_cell_angle_gamma 90.23
_space_group_name_H-M_alt 'P 1'
_space_group_IT_number 1
loop_
_space_group_symop_operation_xyz
'x,y,z'
loop_
_atom_site_label
_atom_site_type_symbol
_atom_site_fract_x
_atom_site_fract_y
_atom_site_fract_z
_atom_site_occupancy
La1 La 0.500 0.500 0.000 1
La2 La 0.596 0.096 0.808 1
La3 La 0.292 0.292 0.414 1
Au1 Au 0.000 0.000 0.000 1
La4 La 0.404 0.904 0.192 1
Co1 Co 0.599 0.599 0.800 1
La5 La 0.096 0.596 0.808 1
Co2 Co 0.401 0.401 0.200 1
La6 La 0.708 0.708 0.586 1
Hg1 Hg 0.177 0.177 0.650 1
Hg2 Hg 0.823 0.823 0.350 1
La7 La 0.904 0.404 0.192 1
```

---

Look up the DOS at the Fermi energy of the first one. 15.309 states/eV/cell

---

Repeat the fifth record exactly.
Entry from the Alexandria database: a relaxed structure of AcPm6Tl4 (GGA-PBE).

V (Å³ per cell): 388
Electronic total energy (eV/atom): -3.927
Crystal system: tetragonal
DOS at the Fermi energy (states/eV/cell): 13.049
Formation energy from the elements (eV per atom): -0.10
Calculated density (Mg/m³): 8.2

Cell and atoms, written as CIF:
```
data_AcPm6Tl4
_chemical_formula_sum 'Ac1 Pm6 Tl4'
_cell_length_a 8.256
_cell_length_b 8.256
_cell_length_c 8.256
_cell_angle_alpha 87.26
_cell_angle_beta 121.60
_cell_angle_gamma 121.60
_space_group_name_H-M_alt 'P 1'
_space_group_IT_number 1
loop_
_space_group_symop_operation_xyz
'x,y,z'
loop_
_atom_site_label
_atom_site_type_symbol
_atom_site_fract_x
_atom_site_fract_y
_atom_site_fract_z
_atom_site_occupancy
Tl1 Tl 0.332 0.735 0.735 1
Ac1 Ac 0.000 0.000 0.000 1
Pm1 Pm 0.376 0.474 0.474 1
Tl2 Tl 0.668 0.403 0.403 1
Pm2 Pm 0.000 0.526 0.903 1
Pm3 Pm 0.000 0.903 0.526 1
Tl3 Tl 0.000 0.265 0.597 1
Pm4 Pm 0.500 0.500 0.000 1
Pm5 Pm 0.500 0.000 0.500 1
Tl4 Tl 0.000 0.597 0.265 1
Pm6 Pm 0.624 0.097 0.097 1
```